# 1
Material: HfTl2CdP
Method: DFT, SCAN
State: PBEsol geometry

```
HfTl2CdP
1.0
-0.658 4.898 1.437
-4.789 -0.090 -1.884
-1.879 -1.678 4.858
P Tl Hf Cd
1 2 1 1
Direct
0.500 0.500 0.500 P
0.000 0.500 0.000 Tl
0.500 0.000 0.000 Tl
0.000 0.000 0.500 Hf
0.000 0.000 0.000 Cd
```

Results
The total energy comes out at -48.5095 eV per atom. As for the energy of formation: 1.131 eV/atom.

***

# 2
Material: SmMgRh2
Method: DFT, SCAN
State: PBEsol geometry

```
SmMgRh2
1.0
-1.842 2.786 -3.208
-3.502 -1.499 -2.633
-4.254 1.729 0.602
Mg Rh Sm
1 2 1
Direct
0.000 0.000 0.000 Mg
0.750 0.750 0.750 Rh
0.250 0.250 0.250 Rh
0.500 0.500 0.500 Sm
```

Results
The total energy comes out at -29.9293 eV per atom. As for the energy of formation: -0.690 eV/atom.

***

# 3
Material: AsH2Os
Method: DFT, SCAN
State: PBEsol geometry

```
AsH2Os
1.0
-0.466 -3.694 0.270
0.462 -2.164 -3.006
2.951 -2.275 -0.226
H As Os
2 1 1
Direct
0.250 0.250 0.250 H
0.750 0.750 0.750 H
0.000 0.000 0.000 As
0.500 0.500 0.500 Os
```

Results
The total energy comes out at -23.5060 eV per atom.